Entry 1:
Below is K17Na11Mg after structural relaxation, with properties calculated at the PBE-GGA level.

Values from the calculation:
Calculated formation energy, eV/atom: 0.033
Total moment, μB per formula unit: 0.00

Unit cell a=14.743 b=20.765 c=12.693 alpha=90.00 beta=124.46 gamma=90.00
Space group Cm (No. 8)
Inequivalent atoms, fractional coordinates:
K: 0.000 0.000 0.000 [2 per cell]
K: 0.001 0.329 0.277 [4 per cell]
K: 0.014 0.000 0.618 [2 per cell]
K: 0.020 0.340 0.693 [4 per cell]
K: 0.128 0.150 0.883 [4 per cell]
K: 0.171 0.500 0.275 [2 per cell]
K: 0.184 0.500 0.932 [2 per cell]
K: 0.189 0.203 0.589 [4 per cell]
K: 0.227 0.134 0.281 [4 per cell]
K: 0.275 0.000 0.572 [2 per cell]
K: 0.385 0.297 0.964 [4 per cell]
Na: 0.182 0.319 0.103 [4 per cell]
Na: 0.264 0.410 0.641 [4 per cell]
Na: 0.356 0.319 0.460 [4 per cell]
Na: 0.409 0.087 0.932 [4 per cell]
Na: 0.447 0.410 0.278 [4 per cell]
Na: 0.492 0.000 0.449 [2 per cell]
Mg: 0.323 0.000 0.105 [2 per cell]



Entry 2:
Below is BaPbS2O6 after structural relaxation, with properties calculated at the PBE-GGA level.

Values from the calculation:
Formation energy without anion corrections, eV per atom: -1.65
Total moment, μB per formula unit: 0.00

Unit cell a=5.4757 b=5.4757 c=21.2077 alpha=90.00 beta=90.00 gamma=120.00
Space group R-3 (No. 148, hexagonal axes)
Inequivalent atoms, fractional coordinates:
Ba: 0.0000 0.0000 0.0000 [3 per cell]
Pb: 0.0000 0.0000 0.5000 [3 per cell]
S: 0.0000 0.0000 0.2694 [6 per cell]
O: 0.0072 0.7423 0.7577 [18 per cell]



Entry 3:
Below is GaFe4Sn after structural relaxation, with properties calculated at the PBE-GGA level.

Values from the calculation:
Calculated formation energy, eV/atom: 0.097
Total moment, μB per formula unit: 8.52

Unit cell a=6.936 b=6.936 c=6.936 alpha=90.00 beta=90.00 gamma=90.00
Space group F-43m (No. 216)
Inequivalent atoms, fractional coordinates:
Ga: 0.000 0.000 0.000 [4 per cell]
Fe: 0.125 0.125 0.625 [16 per cell]
Sn: 0.250 0.250 0.250 [4 per cell]



Entry 4:
Below is MnSe2Br after structural relaxation, with properties calculated at the PBE-GGA level.

Values from the calculation:
Formation energy without anion corrections, eV per atom: -0.01
Total moment, μB per formula unit: 1.21

Unit cell a=2.953 b=2.953 c=10.439 alpha=90.00 beta=90.00 gamma=90.00
Space group P4/mmm (No. 123)
Inequivalent atoms, fractional coordinates:
Mn: 0.000 0.000 0.000 [1 per cell]
Se: 0.500 0.500 0.142 [2 per cell]
Br: 0.000 0.000 0.500 [1 per cell]



Entry 5:
Below is Ba2ScV after structural relaxation, with properties calculated at the PBE-GGA level.

Values from the calculation:
Calculated formation energy, eV/atom: 0.938
Total moment, μB per formula unit: 3.63

Unit cell a=9.358 b=9.358 c=6.682 alpha=90.00 beta=90.00 gamma=90.00
Space group I-42d (No. 122)
Inequivalent atoms, fractional coordinates:
Ba: 0.219 0.250 0.125 [8 per cell]
Sc: 0.000 0.000 0.500 [4 per cell]
V: 0.000 0.000 0.000 [4 per cell]



Entry 6:
Below is CuNi2Te3 after structural relaxation, with properties calculated at the PBE-GGA level.

Values from the calculation:
Formation energy without anion corrections, eV per atom: -0.10
Total moment, μB per formula unit: 0.00

Unit cell a=19.191 b=3.939 c=6.808 alpha=90.00 beta=96.95 gamma=90.00
Space group C2/m (No. 12)
Inequivalent atoms, fractional coordinates:
Cu: 0.144 0.000 0.044 [4 per cell]
Ni: 0.048 0.500 0.158 [4 per cell]
Ni: 0.214 0.000 0.406 [4 per cell]
Te: 0.081 0.500 0.817 [4 per cell]
Te: 0.083 0.000 0.377 [4 per cell]
Te: 0.244 0.000 0.773 [4 per cell]



Entry 7:
Below is Cs12K6Hg after structural relaxation, with properties calculated at the PBE-GGA level.

Values from the calculation:
Calculated formation energy, eV/atom: 0.010
Total moment, μB per formula unit: 0.00

Unit cell a=17.2697 b=17.2697 c=21.5620 alpha=90.00 beta=90.00 gamma=120.00
Space group R-3 (No. 148, hexagonal axes)
Inequivalent atoms, fractional coordinates:
Cs: 0.0522 0.4606 0.2213 [18 per cell]
Cs: 0.0698 0.8592 0.9033 [18 per cell]
K: 0.0616 0.1851 0.2996 [18 per cell]
Hg: 0.0000 0.0000 0.0000 [3 per cell]



Entry 8:
Below is AgBiPd2F after structural relaxation, with properties calculated at the PBE-GGA level.

Values from the calculation:
Formation energy without anion corrections, eV per atom: 0.10
Total moment, μB per formula unit: 0.00

Unit cell a=5.137 b=5.137 c=3.995 alpha=90.00 beta=90.00 gamma=90.00
Space group P4/mmm (No. 123)
Inequivalent atoms, fractional coordinates:
Ag: 0.000 0.000 0.000 [1 per cell]
Bi: 0.500 0.500 0.500 [1 per cell]
Pd: 0.000 0.500 0.000 [2 per cell]
F: 0.000 0.000 0.500 [1 per cell]



Entry 9:
Below is Na2MnNi after structural relaxation, with properties calculated at the PBE-GGA level.

Values from the calculation:
Calculated formation energy, eV/atom: 0.749
Total moment, μB per formula unit: 4.87

Unit cell a=9.506 b=9.506 c=4.668 alpha=90.00 beta=90.00 gamma=90.00
Space group I-42d (No. 122)
Inequivalent atoms, fractional coordinates:
Na: 0.132 0.250 0.125 [8 per cell]
Mn: 0.000 0.000 0.500 [4 per cell]
Ni: 0.000 0.000 0.000 [4 per cell]



Entry 10:
Below is Np2HF8 after structural relaxation, with properties calculated at the PBE-GGA level.

Values from the calculation:
VASP energy, eV per atom: -6.9091
Total moment, μB per formula unit: 5.00

Unit cell a=9.578 b=7.605 c=4.386 alpha=90.00 beta=90.60 gamma=90.00
Space group C2/m (No. 12)
Inequivalent atoms, fractional coordinates:
Np: 0.226 0.000 0.467 [4 per cell]
H: 0.000 0.000 0.500 [2 per cell]
F: 0.098 0.500 0.778 [4 per cell]
F: 0.150 0.000 0.935 [4 per cell]
F: 0.155 0.272 0.314 [8 per cell]



Entry 11:
Below is SiTcW4 after structural relaxation, with properties calculated at the PBE-GGA level.

Values from the calculation:
Formation energy without anion corrections, eV per atom: 0.66
Total moment, μB per formula unit: 0.00

Unit cell a=7.371 b=7.371 c=7.371 alpha=90.00 beta=90.00 gamma=90.00
Space group F-43m (No. 216)
Inequivalent atoms, fractional coordinates:
Si: 0.000 0.000 0.000 [4 per cell]
Tc: 0.250 0.250 0.250 [4 per cell]
W: 0.126 0.126 0.626 [16 per cell]



Entry 12:
Below is Pu3Ge4Pd after structural relaxation, with properties calculated at the PBE-GGA level.

Values from the calculation:
Calculated formation energy, eV/atom: -0.004
Total moment, μB per formula unit: 5.50

Unit cell a=3.823 b=7.030 c=12.028 alpha=90.00 beta=90.00 gamma=90.00
Space group Immm (No. 71)
Inequivalent atoms, fractional coordinates:
Pu: 0.000 0.000 0.000 [2 per cell]
Pu: 0.000 0.500 0.364 [4 per cell]
Ge: 0.000 0.325 0.140 [8 per cell]
Pd: 0.000 0.000 0.500 [2 per cell]



Entry 13:
Below is YCu after structural relaxation, with properties calculated at the PBE-GGA level.

Values from the calculation:
Calculated formation energy, eV/atom: 0.291
Total moment, μB per formula unit: 0.00

Unit cell a=4.7807 b=4.7807 c=5.7237 alpha=90.00 beta=90.00 gamma=120.00
Space group P6_3/mmc (No. 194)
Inequivalent atoms, fractional coordinates:
Y: 0.3333 0.6667 0.2500 [2 per cell]
Cu: 0.3333 0.6667 0.7500 [2 per cell]



Entry 14:
Below is Tm2NiSn after structural relaxation, with properties calculated at the PBE-GGA level.

Values from the calculation:
Calculated formation energy, eV/atom: -0.584
Total moment, μB per formula unit: 0.00

Unit cell a=6.009 b=4.147 c=8.009 alpha=90.00 beta=111.45 gamma=90.00
Space group P2_1/m (No. 11)
Inequivalent atoms, fractional coordinates:
Tm: 0.202 0.250 0.450 [2 per cell]
Tm: 0.224 0.250 0.897 [2 per cell]
Ni: 0.341 0.750 0.706 [2 per cell]
Sn: 0.332 0.750 0.209 [2 per cell]



Entry 15:
Below is Ba3TlGe4 after structural relaxation, with properties calculated at the PBE-GGA level.

Values from the calculation:
Calculated formation energy, eV/atom: -0.349
Total moment, μB per formula unit: 0.00

Unit cell a=5.104 b=6.296 c=17.491 alpha=90.00 beta=90.00 gamma=90.00
Space group Immm (No. 71)
Inequivalent atoms, fractional coordinates:
Ba: 0.000 0.000 0.000 [2 per cell]
Ba: 0.000 0.500 0.188 [4 per cell]
Tl: 0.000 0.000 0.500 [2 per cell]
Ge: 0.000 0.309 0.378 [8 per cell]



Entry 16:
Below is DyPaZn4 after structural relaxation, with properties calculated at the PBE-GGA level.

Values from the calculation:
Calculated formation energy, eV/atom: -0.215
Total moment, μB per formula unit: 0.28

Unit cell a=3.294 b=4.542 c=7.863 alpha=90.00 beta=90.00 gamma=90.00
Space group Pmmm (No. 47)
Inequivalent atoms, fractional coordinates:
Dy: 0.000 0.000 0.000 [1 per cell]
Pa: 0.000 0.500 0.500 [1 per cell]
Zn: 0.500 0.000 0.332 [2 per cell]
Zn: 0.500 0.500 0.166 [2 per cell]



Entry 17:
Below is Pm2RuBr after structural relaxation, with properties calculated at the PBE-GGA level.

Values from the calculation:
Formation energy without anion corrections, eV per atom: -0.74
Total moment, μB per formula unit: 0.00

Unit cell a=3.459 b=3.459 c=8.277 alpha=90.00 beta=90.00 gamma=90.00
Space group P4/mmm (No. 123)
Inequivalent atoms, fractional coordinates:
Pm: 0.000 0.000 0.209 [2 per cell]
Ru: 0.500 0.500 0.000 [1 per cell]
Br: 0.500 0.500 0.500 [1 per cell]



Entry 18:
Below is Zn2NiRu after structural relaxation, with properties calculated at the PBE-GGA level.

Values from the calculation:
Calculated formation energy, eV/atom: 0.007
Total moment, μB per formula unit: 0.00

Unit cell a=3.771 b=3.771 c=7.406 alpha=90.00 beta=90.00 gamma=90.00
Space group I-4m2 (No. 119)
Inequivalent atoms, fractional coordinates:
Zn: 0.000 0.000 0.000 [2 per cell]
Zn: 0.000 0.500 0.250 [2 per cell]
Ni: 0.000 0.500 0.750 [2 per cell]
Ru: 0.000 0.000 0.500 [2 per cell]



Entry 19:
Below is LiCrIr2 after structural relaxation, with properties calculated at the PBE-GGA level.

Values from the calculation:
Calculated formation energy, eV/atom: -0.151
Total moment, μB per formula unit: 0.00

Unit cell a=2.893 b=2.893 c=5.994 alpha=90.00 beta=90.00 gamma=90.00
Space group P4/mmm (No. 123)
Inequivalent atoms, fractional coordinates:
Li: 0.000 0.000 0.000 [1 per cell]
Cr: 0.000 0.000 0.500 [1 per cell]
Ir: 0.500 0.500 0.244 [2 per cell]



Entry 20:
Below is Nb3ZnPd after structural relaxation, with properties calculated at the PBE-GGA level.

Values from the calculation:
Calculated formation energy, eV/atom: 1.294
Total moment, μB per formula unit: 0.00

Unit cell a=4.853 b=4.853 c=4.853 alpha=90.00 beta=90.00 gamma=90.00
Space group Pm-3m (No. 221)
Inequivalent atoms, fractional coordinates:
Nb: 0.000 0.000 0.500 [3 per cell]
Zn: 0.500 0.500 0.500 [1 per cell]
Pd: 0.000 0.000 0.000 [1 per cell]